The following is a PBE calculation of a geometry-optimized K5Te structure, from Alexandria.

Structure (POSCAR):
```
K5Te
1.0
0.0000 5.5040 5.5040
5.5040 0.0000 5.5040
5.5040 5.5040 0.0000
K Te
5 1
direct
0.6268 0.6268 0.1196
0.1196 0.6268 0.6268
0.6268 0.6268 0.6268
0.6268 0.1196 0.6268
0.2500 0.2500 0.2500
0.0000 0.0000 0.0000
```

* space group: F-43m (216)
* offset from the most stable computed form: 1.92 eV per formula unit
* formation energy from raw total energies: -88 meV/atom